Ti4Nb9Zn11: relaxed, GGA-PBE.

## Properties
The space group is Cmmm, No. 65.

Lattice parameters (Å, degrees): 11.686 11.686 2.853 90.00 90.00 91.24
Element x y z (fractional)
Ti1 0.053 0.221 0.000
Ti2 0.221 0.053 0.000
Ti3 0.779 0.947 0.000
Ti4 0.947 0.779 0.000
Nb1 0.000 0.000 0.000
Nb2 0.124 0.632 0.000
Nb3 0.292 0.465 0.000
Nb4 0.368 0.876 0.000
Nb5 0.465 0.292 0.000
Nb6 0.535 0.708 0.000
Nb7 0.632 0.124 0.000
Nb8 0.708 0.535 0.000
Nb9 0.876 0.368 0.000
Zn1 0.084 0.422 0.500
Zn2 0.152 0.848 0.500
Zn3 0.256 0.256 0.500
Zn4 0.329 0.671 0.500
Zn5 0.422 0.084 0.500
Zn6 0.500 0.500 0.500
Zn7 0.578 0.916 0.500
Zn8 0.671 0.329 0.500
Zn9 0.744 0.744 0.500
Zn10 0.848 0.152 0.500
Zn11 0.916 0.578 0.500

***

AcIn8Pt2: relaxed, GGA-PBE.

## Properties
The space group is P4/mmm, No. 123.

Lattice parameters (Å, degrees): 6.377 6.377 8.625 90.00 90.00 90.00
Element x y z (fractional)
Ac1 0.000 0.000 0.000
In1 0.254 0.254 0.305
In2 0.254 0.254 0.695
In3 0.254 0.746 0.305
In4 0.254 0.746 0.695
In5 0.746 0.254 0.305
In6 0.746 0.254 0.695
In7 0.746 0.746 0.305
In8 0.746 0.746 0.695
Pt1 0.000 0.500 0.500
Pt2 0.500 0.000 0.500

***

K7As6: relaxed, GGA-PBE.

## Properties
The space group is R-3m, No. 166.

Lattice parameters (Å, degrees): 9.737 9.737 9.737 55.89 55.89 55.89
Element x y z (fractional)
K1 0.000 0.000 0.000
K2 0.098 0.098 0.519
K3 0.098 0.519 0.098
K4 0.481 0.902 0.902
K5 0.519 0.098 0.098
K6 0.902 0.481 0.902
K7 0.902 0.902 0.481
As1 0.136 0.136 0.136
As2 0.348 0.348 0.348
As3 0.439 0.439 0.439
As4 0.561 0.561 0.561
As5 0.652 0.652 0.652
As6 0.864 0.864 0.864

***

RbNpCu2F8: relaxed, GGA-PBE.

## Properties
The space group is P-3m1, No. 164. The calculation puts the energy relative to the elements, uncorrected at -2.41 eV per atom.

Lattice parameters (Å, degrees): 5.724 5.724 8.205 90.00 90.00 120.00
Element x y z (fractional)
Rb1 0.000 0.000 0.000
Np1 0.000 0.000 0.500
Cu1 0.333 0.667 0.182
Cu2 0.667 0.333 0.818
F1 0.168 0.337 0.336
F2 0.168 0.832 0.336
F3 0.333 0.667 0.957
F4 0.337 0.168 0.664
F5 0.663 0.832 0.336
F6 0.667 0.333 0.043
F7 0.832 0.168 0.664
F8 0.832 0.663 0.664

***

Na8B11C5: relaxed, GGA-PBE.

## Properties
The space group is Fmm2, No. 42.

Lattice parameters (Å, degrees): 9.929 5.780 9.040 80.89 35.09 64.02
Element x y z (fractional)
Na1 0.125 0.374 0.126
Na2 0.126 0.874 0.126
Na3 0.374 0.125 0.374
Na4 0.374 0.625 0.375
Na5 0.625 0.374 0.626
Na6 0.626 0.874 0.626
Na7 0.874 0.126 0.874
Na8 0.874 0.626 0.875
B1 0.161 0.161 0.839
B2 0.162 0.679 0.838
B3 0.331 0.331 0.669
B4 0.354 0.822 0.646
B5 0.415 0.415 0.085
B6 0.415 0.915 0.085
B7 0.679 0.162 0.321
B8 0.822 0.354 0.178
B9 0.822 0.822 0.178
B10 0.915 0.415 0.585
B11 0.915 0.915 0.585
C1 0.084 0.084 0.416
C2 0.084 0.584 0.416
C3 0.584 0.084 0.916
C4 0.584 0.584 0.916
C5 0.667 0.667 0.333

***

AcCuAs2Pd5: relaxed, GGA-PBE.

## Properties
The space group is P4/mmm, No. 123.

Lattice parameters (Å, degrees): 4.861 4.861 7.359 90.00 90.00 90.00
Element x y z (fractional)
Ac1 0.000 0.000 0.000
Cu1 0.000 0.000 0.500
As1 0.500 0.500 0.330
As2 0.500 0.500 0.670
Pd1 0.000 0.500 0.303
Pd2 0.000 0.500 0.697
Pd3 0.500 0.000 0.303
Pd4 0.500 0.000 0.697
Pd5 0.500 0.500 0.000

***

| no. | mass density (g cm⁻³) | DFT total energy (eV/cell) |
| --- | --- | --- |
| 1 | 7.447 | -137.8 |
| 2 | 7.271 | -39.6 |
| 3 | 2.033 | -35.8 |
| 4 | 4.291 | -66.0 |
| 5 | 2.438 | -126.9 |
| 6 | 9.286 | -46.8 |